No. 1
A plane-wave DFT calculation with PBE-GGA was carried out for crystalline LaNdSe2O at its relaxed geometry.

Computed properties:
Calculated volume (Å³ per cell): 258.83
Symmetry: P4/nmm (129)
M_tot (μB/f.u.): 0.000
Energy (eV per formula unit): -33.9

a = 4.159 Å, b = 4.159 Å, c = 14.967 Å
α = 90.00°, β = 90.00°, γ = 90.00°
Sites, in units of the cell vectors:
La: 0.250 0.250 0.080
La: 0.750 0.750 0.920
Nd: 0.250 0.250 0.628
Nd: 0.750 0.750 0.372
Se: 0.250 0.250 0.410
Se: 0.250 0.250 0.809
Se: 0.750 0.750 0.191
Se: 0.750 0.750 0.590
O: 0.250 0.750 0.000
O: 0.750 0.250 0.000

No. 2
A plane-wave DFT calculation with PBE-GGA was carried out for crystalline LiAlRu2 at its relaxed geometry.

Computed properties:
Calculated volume (Å³ per cell): 54.47
Symmetry: Pmmm (47)
Calculated formation energy (meV per atom): -88
M_tot (μB/f.u.): 0.850
Energy (eV per formula unit): -24.6

a = 2.910 Å, b = 4.183 Å, c = 4.475 Å
α = 90.00°, β = 90.00°, γ = 90.00°
Sites, in units of the cell vectors:
Li: 0.000 0.000 0.000
Al: 0.500 0.000 0.500
Ru: 0.000 0.500 0.500
Ru: 0.500 0.500 0.000

No. 3
A plane-wave DFT calculation with PBE-GGA was carried out for crystalline CsKRhCl6 at its relaxed geometry.

Computed properties:
Calculated volume (Å³ per cell): 334.24
Symmetry: C2 (5)
M_tot (μB/f.u.): 1.069
Energy (eV per formula unit): -30.6

a = 7.443 Å, b = 7.443 Å, c = 6.972 Å
α = 90.01°, β = 90.01°, γ = 120.07°
Sites, in units of the cell vectors:
Cs: 0.000 0.000 0.000
K: 0.667 0.333 0.500
Rh: 0.333 0.667 0.500
Cl: 0.076 0.411 0.303
Cl: 0.076 0.665 0.697
Cl: 0.335 0.411 0.697
Cl: 0.335 0.924 0.303
Cl: 0.589 0.665 0.303
Cl: 0.589 0.924 0.697

No. 4
A plane-wave DFT calculation with PBE-GGA was carried out for crystalline BiW at its relaxed geometry.

Computed properties:
Calculated volume (Å³ per cell): 387.46
Symmetry: P2_12_12_1 (19)
Excess energy over the best structure of this formula in the dataset (eV per atom): 0.385
Calculated formation energy (meV per atom): 903
M_tot (μB/f.u.): 0.000
Energy (eV per formula unit): -15.0

a = 5.696 Å, b = 7.632 Å, c = 8.912 Å
α = 90.00°, β = 90.00°, γ = 90.00°
Sites, in units of the cell vectors:
Bi: 0.014 0.207 0.412
Bi: 0.039 0.606 0.661
Bi: 0.461 0.394 0.161
Bi: 0.486 0.793 0.912
Bi: 0.514 0.293 0.588
Bi: 0.539 0.894 0.339
Bi: 0.961 0.106 0.839
Bi: 0.986 0.707 0.088
W: 0.032 0.837 0.399
W: 0.193 0.046 0.128
W: 0.307 0.954 0.628
W: 0.468 0.163 0.899
W: 0.532 0.663 0.601
W: 0.693 0.454 0.872
W: 0.807 0.546 0.372
W: 0.968 0.337 0.101

No. 5
A plane-wave DFT calculation with PBE-GGA was carried out for crystalline Th2NpAl at its relaxed geometry.

Computed properties:
Calculated volume (Å³ per cell): 110.04
Symmetry: R-3m (166)
Calculated formation energy (meV per atom): 282
M_tot (μB/f.u.): 4.051
Energy (eV per formula unit): -30.4

a = 10.702 Å, b = 10.702 Å, c = 10.702 Å
α = 18.70°, β = 18.70°, γ = 18.70°
Sites, in units of the cell vectors:
Th: 0.246 0.246 0.246
Th: 0.754 0.754 0.754
Np: 0.000 0.000 0.000
Al: 0.500 0.500 0.500

No. 6
A plane-wave DFT calculation with PBE-GGA was carried out for crystalline Hf3Mo at its relaxed geometry.

Computed properties:
Calculated volume (Å³ per cell): 80.07
Symmetry: Fm-3m (225)
Excess energy over the best structure of this formula in the dataset (eV per atom): 0.147
Calculated formation energy (meV per atom): 114
M_tot (μB/f.u.): 0.000
Energy (eV per formula unit): -40.2

a = 4.838 Å, b = 4.838 Å, c = 4.838 Å
α = 60.00°, β = 60.00°, γ = 60.00°
Sites, in units of the cell vectors:
Hf: 0.000 0.000 0.000
Hf: 0.250 0.250 0.250
Hf: 0.750 0.750 0.750
Mo: 0.500 0.500 0.500

No. 7
A plane-wave DFT calculation with PBE-GGA was carried out for crystalline Ba9AgPd3 at its relaxed geometry.

Computed properties:
Calculated volume (Å³ per cell): 1254.33
Symmetry: P2_1/m (11)
Calculated formation energy (meV per atom): -316
M_tot (μB/f.u.): 0.000
Energy (eV per formula unit): -39.8

a = 7.963 Å, b = 11.981 Å, c = 13.216 Å
α = 90.00°, β = 95.87°, γ = 90.00°
Sites, in units of the cell vectors:
Ba: 0.096 0.250 0.199
Ba: 0.152 0.570 0.379
Ba: 0.152 0.930 0.379
Ba: 0.207 0.250 0.860
Ba: 0.256 0.559 0.041
Ba: 0.256 0.941 0.041
Ba: 0.357 0.250 0.530
Ba: 0.362 0.571 0.711
Ba: 0.362 0.929 0.711
Ba: 0.638 0.071 0.289
Ba: 0.638 0.429 0.289
Ba: 0.643 0.750 0.470
Ba: 0.744 0.059 0.959
Ba: 0.744 0.441 0.959
Ba: 0.793 0.750 0.140
Ba: 0.848 0.070 0.621
Ba: 0.848 0.430 0.621
Ba: 0.904 0.750 0.801
Ag: 0.471 0.250 0.084
Ag: 0.529 0.750 0.916
Pd: 0.051 0.003 0.830
Pd: 0.051 0.497 0.830
Pd: 0.500 0.000 0.500
Pd: 0.500 0.500 0.500
Pd: 0.949 0.503 0.170
Pd: 0.949 0.997 0.170

No. 8
A plane-wave DFT calculation with PBE-GGA was carried out for crystalline RbNbSn2P at its relaxed geometry.

Computed properties:
Calculated volume (Å³ per cell): 184.50
Symmetry: P4/mmm (123)
Calculated formation energy (meV per atom): 998
M_tot (μB/f.u.): 4.012
Energy (eV per formula unit): -19.5

a = 5.407 Å, b = 5.407 Å, c = 6.311 Å
α = 90.00°, β = 90.00°, γ = 90.00°
Sites, in units of the cell vectors:
Rb: 0.000 0.000 0.000
Nb: 0.000 0.000 0.500
Sn: 0.000 0.500 0.500
Sn: 0.500 0.000 0.500
P: 0.500 0.500 0.000

No. 9
A plane-wave DFT calculation with PBE-GGA was carried out for crystalline NbSnBi3 at its relaxed geometry.

Computed properties:
Calculated volume (Å³ per cell): 181.11
Symmetry: Pm-3m (221)
Excess energy over the best structure of this formula in the dataset (eV per atom): 0.994
Calculated formation energy (meV per atom): 1492
M_tot (μB/f.u.): 0.134
Energy (eV per formula unit): -18.3

a = 5.658 Å, b = 5.658 Å, c = 5.658 Å
α = 90.00°, β = 90.00°, γ = 90.00°
Sites, in units of the cell vectors:
Nb: 0.000 0.000 0.000
Sn: 0.500 0.500 0.500
Bi: 0.000 0.500 0.500
Bi: 0.500 0.000 0.500
Bi: 0.500 0.500 0.000

No. 10
A plane-wave DFT calculation with PBE-GGA was carried out for crystalline KRbTcI6 at its relaxed geometry.

Computed properties:
Calculated volume (Å³ per cell): 452.64
Symmetry: P312 (149)
M_tot (μB/f.u.): 3.075
Energy (eV per formula unit): -27.7

a = 8.455 Å, b = 8.455 Å, c = 7.310 Å
α = 90.00°, β = 90.00°, γ = 120.00°
Sites, in units of the cell vectors:
K: 0.000 0.000 0.000
Rb: 0.667 0.333 0.500
Tc: 0.333 0.667 0.000
I: 0.071 0.400 0.220
I: 0.071 0.671 0.780
I: 0.329 0.400 0.780
I: 0.329 0.929 0.220
I: 0.600 0.671 0.220
I: 0.600 0.929 0.780

- calculated volume of number 5 (Th2NpAl)?
  110.04 Å³ per cell